Computed, not measured: MgFeO2F after structural relaxation at the PBE with a Hubbard U level of DFT. Values from VASP.

```
&SYSTEM
  ibrav = 0, nat = 5, ntyp = 4
/
ATOMIC_SPECIES
Mg 24.30 Mg.upf
Fe 55.84 Fe.upf
O 16.00 O.upf
F 19.00 F.upf
CELL_PARAMETERS angstrom
3.913 0.000 0.000
0.000 3.913 0.000
0.000 0.000 3.846
ATOMIC_POSITIONS crystal
Mg 0.000 0.000 0.000
Fe 0.500 0.500 0.500
O 0.000 0.500 0.500
O 0.500 0.000 0.500
F 0.500 0.500 0.000
```

Computed properties:
**Space-group type**: P4/mmm
**Size of the total moment**: 4.99 Bohr magnetons per cell
**VASP energy**: -27.39 eV for the cell shown
**DOS(E_F)**: 0.023 states/eV/atom